Record 1
Compound: Ca2LaMo
Source: the Alexandria database
Functional: PBE
Structure: optimized geometry

Cell and atoms, written as POSCAR:
```
Ca2LaMo
1.0
-1.427 -4.410 -0.050
3.963 -1.305 2.019
-2.293 0.685 4.944
Mo Ca La
1 2 1
direct
0.000 0.500 0.500
0.000 0.000 0.000
0.500 0.500 0.000
0.500 0.000 0.500
```

Values from the calculation:
* electronic total energy: -4.298 eV per atom
* symmetry: No. 123
* volume: 118.0 Å³/cell
* ρ: 4.43 g/cm³
* energy relative to the elements: 14.82 kcal/mol of atoms
* relative energy among the computed polymorphs: 190 meV/atom


Record 2
Compound: Na2CaH6Ir
Source: the Alexandria database
Functional: PBE
Structure: optimized geometry

Cell and atoms, written as POSCAR:
```
Na2CaH6Ir
1.0
5.968 0.000 0.000
0.000 5.212 0.000
0.000 -2.606 4.514
Na Ca H Ir
2 1 6 1
direct
0.118 0.333 0.667
0.882 0.667 0.333
0.500 0.000 0.000
0.832 0.151 0.301
0.832 0.151 0.849
0.832 0.699 0.849
0.168 0.849 0.151
0.168 0.301 0.151
0.168 0.849 0.699
0.000 0.000 0.000
```

Values from the calculation:
* electronic total energy: -3.739 eV per atom
* symmetry: No. 164
* volume: 140.4 Å³/cell
* ρ: 3.36 g/cm³


Record 3
Compound: Li2CuP
Source: the Alexandria database
Functional: PBE
Structure: optimized geometry

Cell and atoms, written as POSCAR:
```
Li2CuP
1.0
-1.234 0.614 2.831
2.256 -1.734 1.350
3.267 4.585 0.429
Cu Li P
1 2 1
direct
0.500 0.500 0.723
0.000 0.000 0.979
0.500 0.500 0.273
0.000 0.000 0.524
```

Values from the calculation:
* electronic total energy: -3.460 eV per atom
* symmetry: No. 35
* volume: 56.0 Å³/cell
* ρ: 3.22 g/cm³
* energy relative to the elements: -2.92 kcal/mol of atoms


Record 4
Compound: Mn2PPt
Source: the Alexandria database
Functional: PBE
Structure: optimized geometry

Cell and atoms, written as POSCAR:
```
Mn2PPt
1.0
-1.685 -0.928 -2.733
-1.190 -2.042 1.427
-5.057 2.124 2.396
Mn P Pt
2 1 1
direct
0.000 0.057 0.034
0.000 0.443 0.466
0.500 0.250 0.250
0.500 0.750 0.750
```

Values from the calculation:
* electronic total energy: -7.635 eV per atom
* symmetry: No. 10
* volume: 52.5 Å³/cell
* ρ: 10.62 g/cm³
* energy relative to the elements: -4.33 kcal/mol of atoms


Record 5
Compound: Nd2AlIn3
Source: the Alexandria database
Functional: PBE
Structure: optimized geometry

Cell and atoms, written as POSCAR:
```
Nd2AlIn3
1.0
-2.135 0.040 -3.052
-1.907 -4.335 1.277
-6.141 3.982 4.346
Nd Al In
2 1 3
direct
0.000 0.500 0.008
0.000 0.000 0.494
0.500 0.500 0.331
0.500 0.000 0.835
0.500 0.000 0.175
0.500 0.500 0.658
```

Values from the calculation:
* electronic total energy: -4.043 eV per atom
* symmetry: No. 25
* volume: 155.5 Å³/cell
* ρ: 7.05 g/cm³
* energy relative to the elements: -10.64 kcal/mol of atoms
* relative energy among the computed polymorphs: 0 meV/atom


Record 6
Compound: La2Tb6Y3Ho
Source: the Alexandria database
Functional: PBE
Structure: optimized geometry

Cell and atoms, written as POSCAR:
```
La2Tb6Y3Ho
1.0
-1.475 3.941 -4.587
-3.468 -0.200 5.165
8.434 6.978 4.686
La Tb Y Ho
2 6 3 1
direct
0.333 0.667 0.000
0.667 0.333 0.000
0.915 0.583 0.747
0.753 0.753 0.253
0.085 0.417 0.253
0.583 0.915 0.747
0.247 0.247 0.747
0.417 0.085 0.253
0.166 0.834 0.500
0.834 0.166 0.500
0.500 0.500 0.500
0.000 0.000 0.000
```

Values from the calculation:
* electronic total energy: -5.113 eV per atom
* symmetry: No. 12
* volume: 393.5 Å³/cell
* ρ: 7.02 g/cm³
* energy relative to the elements: 0.49 kcal/mol of atoms


Record 7
Compound: Ce2Zn2CdRh5
Source: the Alexandria database
Functional: PBE
Structure: optimized geometry

Cell and atoms, written as POSCAR:
```
Ce2Zn2CdRh5
1.0
3.763 0.000 0.000
0.000 9.650 0.000
0.000 0.000 9.650
Ce Zn Cd Rh
4 4 2 10
direct
0.000 0.678 0.178
0.000 0.322 0.822
0.000 0.178 0.322
0.000 0.822 0.678
0.000 0.120 0.620
0.000 0.880 0.380
0.000 0.620 0.880
0.000 0.380 0.120
0.000 0.000 0.000
0.000 0.500 0.500
0.500 0.205 0.081
0.500 0.795 0.919
0.500 0.081 0.795
0.500 0.705 0.419
0.500 0.919 0.205
0.500 0.295 0.581
0.500 0.581 0.705
0.500 0.419 0.295
0.500 0.500 0.000
0.500 0.000 0.500
```

Values from the calculation:
* electronic total energy: -5.732 eV per atom
* symmetry: No. 127
* volume: 350.5 Å³/cell
* ρ: 9.84 g/cm³
* energy relative to the elements: -12.07 kcal/mol of atoms


Record 8
Compound: Zn2Cr2Ag
Source: the Alexandria database
Functional: PBE
Structure: optimized geometry

Cell and atoms, written as POSCAR:
```
Zn2Cr2Ag
1.0
-6.145 -3.338 -2.095
2.850 -1.086 -6.632
1.042 -2.452 0.849
Cr Zn Ag
4 4 2
direct
0.096 0.596 0.500
0.596 0.904 0.500
0.904 0.404 0.500
0.404 0.096 0.500
0.307 0.807 0.000
0.807 0.693 0.000
0.693 0.193 0.000
0.193 0.307 0.000
0.000 0.000 0.000
0.500 0.500 0.000
```

Values from the calculation:
* electronic total energy: -4.536 eV per atom
* symmetry: No. 127
* volume: 149.0 Å³/cell
* ρ: 7.64 g/cm³
* energy relative to the elements: 9.06 kcal/mol of atoms
* relative energy among the computed polymorphs: 0 meV/atom


Record 9
Compound: CsCoCl6
Source: the Alexandria database
Functional: PBE
Structure: optimized geometry

Cell and atoms, written as POSCAR:
```
CsCoCl6
1.0
-4.969 3.716 0.728
0.604 -2.006 5.886
4.434 4.355 0.041
Cs Co Cl
1 1 6
direct
0.500 0.500 0.500
0.000 0.000 0.000
0.748 0.077 0.744
0.077 0.748 0.744
0.923 0.252 0.256
0.252 0.923 0.256
0.256 0.256 0.925
0.744 0.744 0.075
```

Values from the calculation:
* electronic total energy: -3.056 eV per atom
* symmetry: No. 12
* volume: 233.1 Å³/cell
* formation energy without anion corrections: -676.1 meV per atom
* ρ: 2.88 g/cm³


Record 10
Compound: CsSrTl2Ni
Source: the Alexandria database
Functional: PBE
Structure: optimized geometry

Cell and atoms, written as POSCAR:
```
CsSrTl2Ni
1.0
5.381 0.000 0.000
0.000 5.381 0.000
0.000 0.000 5.692
Cs Sr Tl Ni
1 1 2 1
direct
0.500 0.500 0.500
0.000 0.000 0.500
0.000 0.500 0.000
0.500 0.000 0.000
0.000 0.000 0.000
```

Values from the calculation:
* electronic total energy: -2.583 eV per atom
* symmetry: No. 123
* volume: 164.8 Å³/cell
* ρ: 6.93 g/cm³
* energy relative to the elements: 0.62 kcal/mol of atoms


Record 11
Compound: Na2Y2Ti
Source: the Alexandria database
Functional: PBE
Structure: optimized geometry

Cell and atoms, written as POSCAR:
```
Na2Y2Ti
1.0
8.751 0.000 0.000
0.000 8.751 0.000
0.000 0.000 3.704
Y Na Ti
4 4 2
direct
0.197 0.697 0.500
0.697 0.803 0.500
0.803 0.303 0.500
0.303 0.197 0.500
0.391 0.891 0.000
0.891 0.609 0.000
0.609 0.109 0.000
0.109 0.391 0.000
0.000 0.000 0.000
0.500 0.500 0.000
```

Values from the calculation:
* electronic total energy: -3.990 eV per atom
* symmetry: No. 127
* volume: 283.6 Å³/cell
* ρ: 3.18 g/cm³
* energy relative to the elements: 16.19 kcal/mol of atoms
* relative energy among the computed polymorphs: 0 meV/atom


Record 12
Compound: Ca4MgPd
Source: the Alexandria database
Functional: PBE
Structure: optimized geometry

Cell and atoms, written as POSCAR:
```
Ca4MgPd
1.0
8.870 0.000 5.121
2.957 8.362 5.121
0.000 0.000 10.242
Ca Mg Pd
16 4 4
direct
0.405 0.405 0.405
0.785 0.405 0.405
0.405 0.785 0.405
0.405 0.405 0.785
0.557 0.557 0.943
0.943 0.943 0.557
0.557 0.943 0.557
0.943 0.557 0.943
0.943 0.557 0.557
0.557 0.943 0.943
0.193 0.193 0.807
0.807 0.807 0.193
0.193 0.807 0.193
0.807 0.193 0.807
0.807 0.193 0.193
0.193 0.807 0.807
0.172 0.172 0.172
0.485 0.172 0.172
0.172 0.485 0.172
0.172 0.172 0.485
0.611 0.611 0.611
0.168 0.611 0.611
0.611 0.168 0.611
0.611 0.611 0.168
```

Values from the calculation:
* electronic total energy: -2.794 eV per atom
* symmetry: No. 216
* volume: 759.7 Å³/cell
* ρ: 2.54 g/cm³
* energy relative to the elements: -7.57 kcal/mol of atoms


Record 13
Compound: NdYNiPd
Source: the Alexandria database
Functional: PBE
Structure: optimized geometry

Cell and atoms, written as POSCAR:
```
NdYNiPd
1.0
-2.707 2.704 -0.458
-2.143 -2.638 -2.910
-1.398 -3.442 4.149
Nd Y Ni Pd
1 1 1 1
direct
0.141 0.000 0.283
0.863 0.500 0.726
0.419 0.000 0.838
0.576 0.500 0.152
```

Values from the calculation:
* electronic total energy: -6.147 eV per atom
* symmetry: No. 38
* volume: 90.1 Å³/cell
* ρ: 7.34 g/cm³
* energy relative to the elements: -13.72 kcal/mol of atoms
* relative energy among the computed polymorphs: 0 meV/atom


Record 14
Compound: TaHg2P
Source: the Alexandria database
Functional: PBE
Structure: optimized geometry

Cell and atoms, written as POSCAR:
```
TaHg2P
1.0
1.751 -2.404 0.000
1.751 2.404 0.000
0.000 0.000 9.345
Ta Hg P
1 2 1
direct
0.500 0.500 0.000
0.000 0.000 0.251
0.000 0.000 0.749
0.500 0.500 0.500
```

Values from the calculation:
* electronic total energy: -3.866 eV per atom
* symmetry: No. 65
* volume: 78.7 Å³/cell
* ρ: 12.94 g/cm³
* energy relative to the elements: 13.85 kcal/mol of atoms


Record 15
Compound: Sr2AlBr
Source: the Alexandria database
Functional: PBE
Structure: optimized geometry

Cell and atoms, written as POSCAR:
```
Sr2AlBr
1.0
-7.727 5.409 -6.980
-9.726 1.820 -6.307
-10.040 4.925 -3.553
Sr Al Br
2 1 1
direct
0.015 0.015 0.015
0.242 0.242 0.242
0.507 0.507 0.507
0.736 0.736 0.736
```

Values from the calculation:
* electronic total energy: -2.535 eV per atom
* symmetry: No. 160
* volume: 172.4 Å³/cell
* formation energy without anion corrections: -340.2 meV per atom
* ρ: 2.72 g/cm³
* relative energy among the computed polymorphs: 460 meV/atom


Record 16
Compound: CaLaHf3
Source: the Alexandria database
Functional: PBE
Structure: optimized geometry

Cell and atoms, written as POSCAR:
```
CaLaHf3
1.0
5.248 0.000 0.000
0.000 5.248 0.000
0.000 0.000 5.248
Ca Hf La
1 3 1
direct
0.000 0.000 0.000
0.000 0.500 0.000
0.000 0.000 0.500
0.500 0.000 0.000
0.500 0.500 0.500
```

Values from the calculation:
* electronic total energy: -5.924 eV per atom
* symmetry: No. 221
* volume: 144.5 Å³/cell
* ρ: 8.21 g/cm³
* energy relative to the elements: 33.06 kcal/mol of atoms
* relative energy among the computed polymorphs: 220 meV/atom


Record 17
Compound: Sm5Dy3Ho3
Source: the Alexandria database
Functional: PBE
Structure: optimized geometry

Cell and atoms, written as POSCAR:
```
Sm5Dy3Ho3
1.0
-0.399 0.418 3.391
1.430 -11.006 1.525
8.842 6.877 0.192
Sm Dy Ho
5 3 3
direct
0.500 0.667 0.333
0.500 0.333 0.667
0.500 0.339 0.000
0.500 0.661 0.661
0.500 0.000 0.339
0.000 0.595 0.000
0.000 0.000 0.595
0.000 0.405 0.405
0.500 0.841 0.000
0.500 0.159 0.159
0.500 0.000 0.841
```

Values from the calculation:
* electronic total energy: -4.318 eV per atom
* symmetry: No. 189
* volume: 373.9 Å³/cell
* ρ: 7.70 g/cm³
* energy relative to the elements: 7.62 kcal/mol of atoms
* relative energy among the computed polymorphs: 0 meV/atom